Record 1
This record from the Alexandria database describes an optimized crystal structure of MnZnSe2. The functional is PBE.

abc: 4.1187 3.4978 6.2924
angles: 90.00 90.90 90.00
Closest atoms and distances in Å follow each position.
Space group P2/m (No. 10)
One atom of each set of equivalent atoms:
Mn 0.0000 0.0000 0.0000 x1  4 Se 2.55
Zn 0.0000 0.0000 0.5000 x1  4 Se 2.60
Se 0.2557 0.5000 0.2468 x2  2 Mn 2.55, 2 Zn 2.60

Record 2
This record from the Alexandria database describes an optimized crystal structure of Mn2ZnSe2. The functional is PBE.

abc: 7.0601 7.0601 3.4659
angles: 90.00 90.00 90.00
Closest atoms and distances in Å follow each position.
Space group P4/mbm (No. 127)
One atom of each set of equivalent atoms:
Mn 0.1360 0.3640 0.0000 x4  6 Se 2.66-2.73, 1 Mn 2.72, 2 Zn 2.74
Zn 0.0000 0.0000 0.0000 x2  4 Mn 2.74
Se 0.1620 0.6620 0.5000 x4  6 Mn 2.66-2.73

Record 3
This record from the Alexandria database describes an optimized crystal structure of MnZnSe2. The functional is PBE.

abc: 6.6046 3.8314 6.6095
angles: 90.00 109.02 90.00
Closest atoms and distances in Å follow each position.
Space group C2/m (No. 12)
One atom of each set of equivalent atoms:
Mn 0.0000 0.0000 0.0000 x2  6 Se 2.70-2.73
Zn 0.0000 0.5000 0.5000 x2  6 Se 2.65-2.72
Se 0.2445 0.5000 0.2521 x4  3 Zn 2.65-2.72, 3 Mn 2.70-2.73

Number 1: total DFT energy (no corrections) -4.5261 eV per atom, formation energy without anion corrections -0.17 eV/atom, magnetic moment 4.43 μB/f.u.. Number 2: total DFT energy (no corrections) -5.3371 eV per atom, formation energy without anion corrections -0.02 eV/atom, magnetic moment 7.65 μB/f.u.. Number 3: total DFT energy (no corrections) -4.7314 eV per atom, formation energy without anion corrections -0.38 eV/atom, magnetic moment 4.98 μB/f.u..